Material: EuThCuNi
Method: DFT, GGA-PBE
State: relaxed

Results
The calculation puts the calculated formation energy at -0.098 eV per atom.

Structure (CIF):
```
data_EuThCuNi
_chemical_formula_sum 'Eu4 Th4 Cu4 Ni4'
_cell_length_a 7.067
_cell_length_b 7.067
_cell_length_c 7.067
_cell_angle_alpha 90.00
_cell_angle_beta 90.00
_cell_angle_gamma 90.00
_space_group_name_H-M_alt 'F -4 3 m'
_space_group_IT_number 216
_space_group_name_Hall 'F -4 2 3'
loop_
_atom_site_label
_atom_site_fract_x
_atom_site_fract_y
_atom_site_fract_z
Eu1 0.000 0.000 0.000
Th1 0.000 0.000 0.500
Cu1 0.250 0.250 0.250
Ni1 0.250 0.250 0.750
```